Material: SrAl2
Method: DFT, PBE-GGA
State: optimized geometry

```
data_SrAl2
_chemical_formula_sum 'Sr4 Al8'
_symmetry_space_group_name_H-M 'P 1'
_symmetry_Int_Tables_number 1
_cell_length_a 4.6761
_cell_length_b 6.8525
_cell_length_c 9.8516
_cell_angle_alpha 90.00
_cell_angle_beta 90.00
_cell_angle_gamma 90.00
loop_
_symmetry_equiv_pos_as_xyz
'x,y,z'
loop_
_atom_site_label
_atom_site_type_symbol
_atom_site_fract_x
_atom_site_fract_y
_atom_site_fract_z
Al1 Al 0.7500 0.4785 0.1980
Al2 Al 0.7500 0.3811 0.9286
Al3 Al 0.2500 0.5215 0.8020
Al4 Al 0.2500 0.0215 0.6980
Al5 Al 0.7500 0.8811 0.5714
Al6 Al 0.2500 0.6189 0.0714
Al7 Al 0.2500 0.1189 0.4286
Al8 Al 0.7500 0.9785 0.3020
Sr1 Sr 0.2500 0.1458 0.0972
Sr2 Sr 0.7500 0.8542 0.9028
Sr3 Sr 0.7500 0.3542 0.5972
Sr4 Sr 0.2500 0.6458 0.4028
```

Computed properties:
theoretical density: 2979 kg/m³
total magnetization: 0.0 μB/cell
energy of formation from the pure elements: -0.065 eV per atom
symmetry: Pnma, No. 62
crystal system: orthorhombic
VASP energy: -3.1209 eV per atom